Entry 1:
VASP calculation (PBE-GGA) on an optimized crystal structure of LiThTeSe.

Values from the calculation:
Uncorrected energy = -63.12 eV for the cell shown
V = 26.78 A^3/atom

a b c (Å): 4.1720 4.1720 21.3216
angles (deg): 90.00 90.00 120.00
Closest atoms and distances in Å follow each position.
Space group R3m (No. 160, hexagonal axes)
Symmetry-distinct sites (fractional):
Li (0.0000, 0.0000, 0.0000) [3 per cell]  3 Se 2.81, 3 Te 3.02
Th (0.0000, 0.0000, 0.5149) [3 per cell]  3 Se 3.00, 3 Te 3.16
Te (0.0000, 0.0000, 0.7523) [3 per cell]  3 Li 3.02, 3 Th 3.16
Se (0.0000, 0.0000, 0.2652) [3 per cell]  3 Li 2.81, 3 Th 3.00


Entry 2:
VASP calculation (PBE-GGA) on an optimized crystal structure of RbTe2I2.

Values from the calculation:
Uncorrected energy = -24.44 eV for the cell shown
V = 39.99 A^3/atom

a b c (Å): 4.4117 4.4117 20.5482
angles (deg): 90.00 90.00 90.00
Closest atoms and distances in Å follow each position.
Space group I4/mmm (No. 139)
Symmetry-distinct sites (fractional):
Rb (0.0000, 0.0000, 0.0000) [2 per cell]  8 I 3.63
Te (0.0000, 0.5000, 0.2500) [4 per cell]  4 Te 3.12
I (0.0000, 0.0000, 0.4096) [4 per cell]  4 Rb 3.63, 1 I 3.72, 4 Te 3.95


Entry 3:
VASP calculation (PBE-GGA) on an optimized crystal structure of Li3Ac2PmSe6.

Values from the calculation:
Uncorrected energy = -120.19 eV for the cell shown
V = 25.88 A^3/atom

a b c (Å): 18.1911 4.3161 7.9102
angles (deg): 90.00 90.63 90.00
Closest atoms and distances in Å follow each position.
Space group C2/m (No. 12)
Symmetry-distinct sites (fractional):
Li (0.0000, 0.0000, 0.0000) [2 per cell]  6 Se 2.89-2.93
Li (0.1221, 0.5000, 0.2234) [4 per cell]  3 Se 2.53-2.75
Ac (0.1930, 0.5000, 0.7562) [4 per cell]  7 Se 3.10-3.24
Pm (0.0000, 0.0000, 0.5000) [2 per cell]  6 Se 2.94-2.96
Se (0.0164, 0.5000, 0.7533) [4 per cell]  1 Li 2.53
Se (0.1586, 0.0000, 0.0255) [4 per cell]  3 Li 2.75-2.89
Se (0.1613, 0.0000, 0.4747) [4 per cell]  1 Pm 2.94, 2 Li 3.01, 3 Ac 3.15-3.24


Entry 4:
VASP calculation (PBE-GGA) on an optimized crystal structure of PrNdSi4.

Values from the calculation:
Uncorrected energy = -69.64 eV for the cell shown
V = 21.00 A^3/atom

a b c (Å): 4.2934 4.2934 13.6680
angles (deg): 90.00 90.00 90.00
Closest atoms and distances in Å follow each position.
Space group I-4m2 (No. 119)
Symmetry-distinct sites (fractional):
Pr (0.0000, 0.0000, 0.0000) [2 per cell]  12 Si 3.11-3.25
Nd (0.0000, 0.5000, 0.2500) [2 per cell]  12 Si 3.11-3.25
Si (0.0000, 0.0000, 0.4142) [4 per cell]  3 Si 2.35-2.40
Si (0.0000, 0.5000, 0.6647) [4 per cell]  3 Si 2.33-2.40


Entry 5:
VASP calculation (PBE-GGA) on an optimized crystal structure of Er3Ag5Te12.

Values from the calculation:
Uncorrected energy = -584.48 eV for the cell shown
V = 31.71 A^3/atom

a b c (Å): 17.1839 17.1839 17.1839
angles (deg): 90.00 90.00 90.00
Closest atoms and distances in Å follow each position.
Space group Ia-3d (No. 230)
Symmetry-distinct sites (fractional):
Er (0.0000, 0.2500, 0.1250) [24 per cell]  8 Te 3.18-3.19
Ag (0.0000, 0.0000, 0.0000) [16 per cell]  6 Te 2.89
Ag (0.0000, 0.2500, 0.3750) [24 per cell]  4 Te 2.75
Te (0.0177, 0.0681, 0.6530) [96 per cell]  2 Ag 2.75-2.89


Entry 6:
VASP calculation (PBE-GGA) on an optimized crystal structure of SmDy2ErHg4.

Values from the calculation:
V = 26.03 A^3/atom
Energy of formation from the pure elements = -475 meV/atom

a b c (Å): 5.2745 5.2745 25.9297
angles (deg): 90.00 90.00 120.00
Closest atoms and distances in Å follow each position.
Space group R-3m (No. 166, hexagonal axes)
Symmetry-distinct sites (fractional):
Sm (0.0000, 0.0000, 0.0000) [3 per cell]  8 Hg 3.25-3.28
Dy (0.0000, 0.0000, 0.2493) [6 per cell]  8 Hg 3.19-3.31
Er (0.0000, 0.0000, 0.5000) [3 per cell]  8 Hg 3.20-3.22
Hg (0.0000, 0.0000, 0.1263) [6 per cell]  4 Dy 3.19-3.24, 3 Er 3.22, 1 Sm 3.28
Hg (0.0000, 0.0000, 0.3767) [6 per cell]  1 Er 3.20, 4 Dy 3.22-3.31, 3 Sm 3.25


Entry 7:
VASP calculation (PBE-GGA) on an optimized crystal structure of CaCd6Ga2.

Values from the calculation:
V = 22.55 A^3/atom
Energy of formation from the pure elements = -156 meV/atom

a b c (Å): 4.4629 4.4629 10.1879
angles (deg): 90.00 90.00 90.00
Closest atoms and distances in Å follow each position.
Space group P4/mmm (No. 123)
Symmetry-distinct sites (fractional):
Ca (0.0000, 0.0000, 0.0000) [1 per cell]  8 Ga 3.38, 8 Cd 3.62
Cd (0.0000, 0.0000, 0.5000) [1 per cell]  12 Cd 3.16
Cd (0.0000, 0.5000, 0.2798) [4 per cell]  2 Ga 2.76
Cd (0.5000, 0.5000, 0.5000) [1 per cell]  12 Cd 3.16
Ga (0.5000, 0.5000, 0.1196) [2 per cell]  1 Ga 2.44


Entry 8:
VASP calculation (PBE-GGA) on an optimized crystal structure of Rb3PuPb2O6.

Values from the calculation:
Uncorrected energy = -150.27 eV for the cell shown
V = 19.79 A^3/atom

a b c (Å): 6.5973 11.1110 6.8505
angles (deg): 90.00 108.95 90.00
Closest atoms and distances in Å follow each position.
Space group C2/m (No. 12)
Symmetry-distinct sites (fractional):
Rb (0.0000, 0.0000, 0.0000) [2 per cell]  4 O 2.92
Rb (0.0000, 0.3264, 0.0000) [4 per cell]  6 O 2.81-3.06
Pu (0.0000, 0.5000, 0.5000) [2 per cell]  2 O 2.01
Pb (0.0000, 0.1825, 0.5000) [4 per cell]  4 O 2.39-2.66
O (0.1740, 0.5000, 0.3082) [4 per cell]  1 Pu 2.01
O (0.2079, 0.3469, 0.6867) [8 per cell]  1 Pu 2.30, 1 Pb 2.39